No. 1
The following is a GGA-PBE calculation of a relaxed GdTmIn crystal, from the Alexandria database.

Unit cell a=5.2225 b=5.2225 c=3.6112 alpha=90.00 beta=90.00 gamma=120.00
Space group P3m1 (No. 156)
Asymmetric unit:
Gd 0.0000 0.0000 0.0000 (multiplicity 1)
Tm 0.3333 0.6667 0.4425 (multiplicity 1)
In 0.6667 0.3333 0.6586 (multiplicity 1)

Crystal system: trigonal
ΔH_f (0 K) (kJ per mole of atoms): -22.1
ΔE to the lowest computed polymorph (eV/f.u.): 0.238

No. 2
The following is a GGA-PBE calculation of a relaxed TmCuBr crystal, from the Alexandria database.

Unit cell a=6.576 b=3.796 c=12.666 alpha=90.00 beta=100.13 gamma=90.00
Space group C2/m (No. 12)
Asymmetric unit:
Tm 0.103 0.000 0.311 (multiplicity 4)
Cu 0.183 0.000 0.549 (multiplicity 4)
Br 0.116 0.500 0.842 (multiplicity 4)

Crystal system: monoclinic
Formation energy from raw total energies (eV per atom): -0.806

No. 3
The following is a GGA-PBE calculation of a relaxed GaSn2S crystal, from the Alexandria database.

Unit cell a=3.4677 b=3.4677 c=29.3339 alpha=90.00 beta=90.00 gamma=120.00
Space group R-3m (No. 166, hexagonal axes)
Asymmetric unit:
Ga 0.0000 0.0000 0.0000 (multiplicity 3)
Sn 0.0000 0.0000 0.1002 (multiplicity 6)
S 0.0000 0.0000 0.5000 (multiplicity 3)

Crystal system: trigonal
Formation energy from raw total energies (eV per atom): 0.065
ΔE to the lowest computed polymorph (eV/f.u.): 0.203

No. 4
The following is a GGA-PBE calculation of a relaxed CrCo2Se crystal, from the Alexandria database.

Unit cell a=3.654 b=3.654 c=3.635 alpha=90.00 beta=90.00 gamma=90.00
Space group P4/mmm (No. 123)
Asymmetric unit:
Cr 0.000 0.000 0.000 (multiplicity 1)
Co 0.000 0.500 0.500 (multiplicity 2)
Se 0.500 0.500 0.000 (multiplicity 1)

Crystal system: tetragonal
Formation energy from raw total energies (eV per atom): 0.218

No. 5
The following is a GGA-PBE calculation of a relaxed Tb5PS5 crystal, from the Alexandria database.

Unit cell a=12.494 b=5.572 c=7.894 alpha=90.00 beta=108.46 gamma=90.00
Space group C2/m (No. 12)
Asymmetric unit:
Tb 0.000 0.000 0.000 (multiplicity 2)
Tb 0.160 0.500 0.827 (multiplicity 4)
Tb 0.164 0.500 0.334 (multiplicity 4)
P 0.000 0.500 0.000 (multiplicity 2)
S 0.000 0.500 0.500 (multiplicity 2)
S 0.170 0.000 0.332 (multiplicity 4)
S 0.171 0.000 0.840 (multiplicity 4)

Crystal system: monoclinic
Formation energy from raw total energies (eV per atom): -2.019

No. 6
The following is a GGA-PBE calculation of a relaxed AlCdBr2 crystal, from the Alexandria database.

Unit cell a=7.520 b=7.520 c=7.520 alpha=90.00 beta=90.00 gamma=90.00
Space group F-43m (No. 216)
Asymmetric unit:
Al 0.000 0.000 0.000 (multiplicity 4)
Cd 0.250 0.250 0.750 (multiplicity 4)
Br 0.000 0.000 0.500 (multiplicity 4)
Br 0.250 0.250 0.250 (multiplicity 4)

Crystal system: cubic
Formation energy from raw total energies (eV per atom): 0.092
ΔE to the lowest computed polymorph (eV/f.u.): 2.306

No. 7
The following is a GGA-PBE calculation of a relaxed Dy8In2Sb crystal, from the Alexandria database.

Unit cell a=19.523 b=5.088 c=6.845 alpha=90.00 beta=103.50 gamma=90.00
Space group C2/m (No. 12)
Asymmetric unit:
Dy 0.026 0.000 0.262 (multiplicity 4)
Dy 0.092 0.500 0.965 (multiplicity 4)
Dy 0.156 0.500 0.485 (multiplicity 4)
Dy 0.215 0.000 0.815 (multiplicity 4)
In 0.185 0.000 0.253 (multiplicity 4)
Sb 0.000 0.500 0.500 (multiplicity 2)

Crystal system: monoclinic
Formation energy from raw total energies (eV per atom): -0.316

No. 8
The following is a GGA-PBE calculation of a relaxed La2CePd crystal, from the Alexandria database.

Unit cell a=3.688 b=3.688 c=8.159 alpha=90.00 beta=90.00 gamma=90.00
Space group P4/mmm (No. 123)
Asymmetric unit:
La 0.000 0.000 0.219 (multiplicity 2)
Ce 0.500 0.500 0.500 (multiplicity 1)
Pd 0.500 0.500 0.000 (multiplicity 1)

Crystal system: tetragonal
ΔH_f (0 K) (kJ per mole of atoms): -30.4
ΔE to the lowest computed polymorph (eV/f.u.): 0.000

Which calculated total energy belongs to each record? In order, -21.978 -50.628 -44.700 -26.449 -142.815 -30.540 -99.780 -22.242 eV/cell.
Which density of states at the Fermi level belongs to each record? In order, 3.13 4.45 6.16 3.63 6.30 17.80 25.05 5.64 states/eV per cell.